# LaHf2ZrBe | Alexandria via LeMat-Bulk | GGA-PBEsol | relaxed
# N(E_F) ... 8.53 states/eV per cell
# DFT formation energy ... 301 kJ/mol of formula units
# Final energy ... -7.265 eV/atom
data_LaHf2ZrBe
_chemical_formula_sum 'La1 Hf2 Zr1 Be1'
_space_group_name_H-M_alt 'P 4/m m m'
_space_group_IT_number 123
_space_group_name_Hall '-P 4 2'
_cell_length_a 4.756
_cell_length_b 4.756
_cell_length_c 5.131
_cell_angle_alpha 90.00
_cell_angle_beta 90.00
_cell_angle_gamma 90.00
loop_
_atom_site_label
_atom_site_type_symbol
_atom_site_fract_x
_atom_site_fract_y
_atom_site_fract_z
La1 La 0.000 0.000 0.000
Hf1 Hf 0.000 0.500 0.500
Zr1 Zr 0.500 0.500 0.000
Be1 Be 0.000 0.000 0.500